VASP calculation (PBE-GGA) on Sc3AuO after structural relaxation.

abc: 6.205 4.345 7.003
angles: 90.00 116.17 90.00
Positions (direct):
Sc: 0.000 0.000 0.000
Sc: 0.135 0.500 0.768
Sc: 0.253 0.000 0.499
Sc: 0.500 0.000 0.000
Sc: 0.747 0.000 0.501
Sc: 0.865 0.500 0.232
Au: 0.371 0.500 0.243
Au: 0.629 0.500 0.757
O: 0.129 0.000 0.758
O: 0.871 0.000 0.242

Calculated volume, Å³ per atom: 16.95
Formation energy (no corrections), eV per atom: -1.55
Theoretical density, kg/m³: 6817
SG: P2/m